A plane-wave DFT calculation with GGA-PBE was carried out for a relaxed YCd2IrRu crystal.

Unit cell a=5.120 b=5.120 c=5.149 alpha=90.00 beta=90.00 gamma=90.00
Atoms (fractional coordinates):
Y 0.000 0.000 0.000
Cd 0.000 0.500 0.500
Cd 0.500 0.000 0.500
Ir 0.000 0.000 0.500
Ru 0.500 0.500 0.000

The value obtained for the formation energy is 70 kJ per mole of atoms. The density of states at the Fermi level comes out at 1.5486 states/eV/atom. For the energy, the calculation gives -4.5563 eV/atom.